Below is a geometry-optimized BeMoIO2 structure, with properties calculated at the GGA+U level.

Computed properties:
magnetic moment: 0.60 μB per atom
total energy: -4.39 eV per atom
energy relative to the lowest polymorph listed for this composition: 459.8 meV per atom

abc: 3.8963 3.8963 5.1214
angles: 90.00 90.00 90.00
Space group P4/mmm (No. 123)
Asymmetric unit:
Be1 0.0000 0.0000 0.0000
Mo1 0.5000 0.5000 0.5000
I1 0.0000 0.0000 0.5000
O1 0.0000 0.5000 0.0000